1.
This record from Alexandria describes CsInTe2 after structural relaxation. The functional is GGA-PBE.

Output
Space-group type: I-4m2
Crystal system: tetragonal
ΔE_f (raw) in eV per atom: -0.690

Geometry as CIF:
```
data_CsInTe2
_symmetry_space_group_name_H-M 'P 1'
_symmetry_Int_Tables_number 1
_cell_length_a 4.5331
_cell_length_b 8.7240
_cell_length_c 4.5343
_cell_angle_alpha 105.06
_cell_angle_beta 90.00
_cell_angle_gamma 105.07
loop_
_symmetry_equiv_pos_as_xyz
'x,y,z'
loop_
_atom_site_label
_atom_site_fract_x
_atom_site_fract_y
_atom_site_fract_z
Cs1 0.5015 0.9780 0.3187
Te1 0.8587 0.6921 0.6751
Te2 0.1450 0.2637 0.9616
In1 0.7524 0.4780 0.0681
```

---

2.
This record from Alexandria describes Ac2PmSm3As6 after structural relaxation. The functional is GGA-PBE.

Output
Formation energy from the elements in eV per formula unit: -17.81
Space-group type: C2/m
Crystal system: monoclinic

Geometry as CIF:
```
data_Ac2PmSm3As6
_symmetry_space_group_name_H-M 'P 1'
_symmetry_Int_Tables_number 1
_cell_length_a 4.3347
_cell_length_b 8.6777
_cell_length_c 9.6924
_cell_angle_alpha 102.97
_cell_angle_beta 102.92
_cell_angle_gamma 90.00
loop_
_symmetry_equiv_pos_as_xyz
'x,y,z'
loop_
_atom_site_label
_atom_site_fract_x
_atom_site_fract_y
_atom_site_fract_z
Ac1 0.8348 0.6688 0.6695
Ac2 0.1652 0.3312 0.3305
Pm1 0.5000 0.0000 0.0000
Sm1 0.5000 0.5000 0.0000
Sm2 0.8336 0.1650 0.6671
Sm3 0.1664 0.8350 0.3329
As1 0.3337 0.9286 0.6675
As2 0.6626 0.5936 0.3253
As3 0.6663 0.0714 0.3325
As4 0.9958 0.2480 0.9915
As5 0.0042 0.7520 0.0085
As6 0.3374 0.4064 0.6747
```

---

| no. | size of the total moment (μB per atom) | energy (eV per cell) |
| --- | --- | --- |
| 1 | 0.000 | -12.63 |
| 2 | 0.000 | -72.84 |